A relaxed structure of AcTlInRh3, computed with PBE.

## Properties
- crystal system = orthorhombic
- M_tot (Bohr magnetons per cell) = 0.00
- uncorrected energy (hartree per atom) = -0.197
- formation energy from the elements (kJ per mole of atoms) = -15.21

a b c (Å): 5.6842 18.1606 5.6837
angles (deg): 90.00 90.00 90.00
With the nearest neighbours (Å) after each atom.
Space group Cmcm (No. 63)
Inequivalent atoms, fractional coordinates:
1 Ac 0.0000 0.2480 0.2500  4 Rh 2.84
2 Tl 0.0000 0.3953 0.7500  5 Rh 2.70-2.77
3 In 0.0000 0.1005 0.7500  5 Rh 2.65-2.71
4 Rh 0.0000 0.2466 0.7500  1 In 2.65, 1 Tl 2.70, 4 Ac 2.84
5 Rh 0.2494 0.0000 0.0000  2 In 2.71, 2 Tl 2.77, 4 Rh 2.84-2.85

A relaxed structure of AgAsCl, computed with PBE.

## Properties
- crystal system = orthorhombic
- M_tot (Bohr magnetons per cell) = 0.00
- polymorph energy (0 for the lowest one) (eV/f.u.) = 0.18
- uncorrected energy (hartree per atom) = -0.118
- raw formation energy (eV/atom) = -0.089

a b c (Å): 3.3212 4.2748 11.0629
angles (deg): 90.00 90.00 90.00
With the nearest neighbours (Å) after each atom.
Space group Imm2 (No. 44)
Inequivalent atoms, fractional coordinates:
1 Ag 0.0000 0.0000 0.0000  4 As 2.72, 1 Cl 3.00
2 As 0.0000 0.0000 0.4745  1 Cl 2.25
3 Cl 0.0000 0.0000 0.2709  1 As 2.25

A relaxed structure of TbPm6Sm, computed with PBE.

## Properties
- crystal system = tetragonal
- M_tot (Bohr magnetons per cell) = 0.00
- uncorrected energy (hartree per atom) = -0.173
- formation energy from the elements (kJ per mole of atoms) = 1.55

a b c (Å): 5.1397 5.1397 10.2733
angles (deg): 90.00 90.00 90.00
With the nearest neighbours (Å) after each atom.
Space group P4/mmm (No. 123)
Inequivalent atoms, fractional coordinates:
1 Tb 0.0000 0.0000 0.0000  12 Pm 3.63
2 Pm 0.0000 0.5000 0.2491  2 Tb 3.63, 8 Pm 3.63-3.64, 2 Sm 3.64
3 Pm 0.5000 0.5000 0.0000  8 Pm 3.63, 4 Tb 3.63
4 Pm 0.5000 0.5000 0.5000  4 Sm 3.63, 8 Pm 3.64
5 Sm 0.0000 0.0000 0.5000  12 Pm 3.63-3.64

A relaxed structure of Ti3GaPd6, computed with PBE.

## Properties
- crystal system = orthorhombic
- M_tot (Bohr magnetons per cell) = 0.00
- polymorph energy (0 for the lowest one) (eV/f.u.) = 1.50
- uncorrected energy (hartree per atom) = -0.229
- formation energy from the elements (kJ per mole of atoms) = -43.45

a b c (Å): 10.0764 12.8948 4.9300
angles (deg): 90.00 90.00 90.00
With the nearest neighbours (Å) after each atom.
Space group Cmc2_1 (No. 36)
Inequivalent atoms, fractional coordinates:
1 Ti 0.0000 0.1285 0.0000  6 Pd 2.65-2.91, 1 Ga 2.67
2 Ti 0.2019 0.4017 0.6392  6 Pd 2.58-2.85, 1 Ga 2.71
3 Ga 0.0000 0.3353 0.9586  5 Pd 2.44-2.71, 3 Ti 2.67-2.71
4 Pd 0.0000 0.2443 0.5058  1 Ga 2.52, 2 Pd 2.78
5 Pd 0.0000 0.4609 0.3281  2 Ga 2.44-2.71, 2 Ti 2.66, 2 Pd 2.66
6 Pd 0.1330 0.0481 0.5217  3 Ti 2.58-2.65, 5 Pd 2.68-2.86
7 Pd 0.2163 0.2904 0.1758  1 Ga 2.50, 2 Ti 2.62-2.70, 4 Pd 2.69-2.78